A geometry-optimized FeMoAu structure, computed with GGA-PBE.

a b c (Å): 2.730 2.730 12.208
angles (deg): 90.00 90.00 90.00
Space group I4mm (No. 107)
One atom of each set of equivalent atoms:
Fe1 0.000 0.000 0.000 (multiplicity 2)
Mo1 0.000 0.000 0.347 (multiplicity 2)
Au1 0.000 0.000 0.665 (multiplicity 2)

- formation enthalpy at 0 K (eV per formula unit) = 0.7
- size of the total moment (μB/atom) = 0.80
- density of states at the Fermi level (states/eV/atom) = 1.067
- crystal system = tetragonal
- total energy (eV/atom) = -7.280
- E above lowest polymorph (meV/atom) = 3

=====

A geometry-optimized FeMo2AuN structure, computed with GGA-PBE.

a b c (Å): 4.134 4.134 3.926
angles (deg): 90.00 90.00 90.00
Space group P4/mmm (No. 123)
One atom of each set of equivalent atoms:
Fe1 0.000 0.000 0.000 (multiplicity 1)
Mo1 0.000 0.500 0.500 (multiplicity 2)
Au1 0.500 0.500 0.000 (multiplicity 1)
N1 0.000 0.000 0.500 (multiplicity 1)

- uncorrected formation energy (meV per atom) = -47
- size of the total moment (μB/atom) = 0.39
- density of states at the Fermi level (states/eV/atom) = 0.772
- crystal system = tetragonal
- total energy (eV/atom) = -8.392

=====

A geometry-optimized Fe2MoAuN structure, computed with GGA-PBE.

a b c (Å): 3.960 3.960 4.076
angles (deg): 90.00 90.00 90.00
Space group P4/mmm (No. 123)
One atom of each set of equivalent atoms:
Fe1 0.000 0.500 0.000 (multiplicity 2)
Mo1 0.000 0.000 0.500 (multiplicity 1)
Au1 0.500 0.500 0.500 (multiplicity 1)
N1 0.000 0.000 0.000 (multiplicity 1)

- uncorrected formation energy (meV per atom) = -24
- size of the total moment (μB/atom) = 1.01
- density of states at the Fermi level (states/eV/atom) = 0.846
- crystal system = tetragonal
- total energy (eV/atom) = -7.895

=====

A geometry-optimized FeNiMo2Au structure, computed with GGA-PBE.

a b c (Å): 4.391 4.391 4.327
angles (deg): 90.00 90.00 90.00
Space group P4/mmm (No. 123)
One atom of each set of equivalent atoms:
Fe1 0.000 0.000 0.000 (multiplicity 1)
Ni1 0.000 0.000 0.500 (multiplicity 1)
Mo1 0.000 0.500 0.000 (multiplicity 2)
Au1 0.500 0.500 0.500 (multiplicity 1)

- formation enthalpy at 0 K (eV per formula unit) = 5.1
- size of the total moment (μB/atom) = 0.07
- density of states at the Fermi level (states/eV/atom) = 1.241
- crystal system = tetragonal
- total energy (eV/atom) = -6.816